(1)
This record from Alexandria via LeMat-Bulk describes a relaxed LaY2NiBi crystal. The functional is PBE.

Geometry as extended XYZ:
```
5
Lattice="5.3548 0.0000 0.0000 0.0000 5.3548 0.0000 0.0000 0.0000 5.1835" Properties=species:S:1:pos:R:3 pbc="T T T"
Ni 0.0000 0.0000 0.0000
Bi 2.6774 2.6774 2.5917
La 0.0000 0.0000 2.5917
Y 2.6774 0.0000 0.0000
Y 0.0000 2.6774 0.0000
```

Summary:
DOS(E_F) = 4.01 states/eV/f.u.
magnetization = 0.00 μB/f.u.
crystal system = tetragonal
SG = P4/mmm (123)
formation energy = -0.436 eV per atom

(2)
This record from Alexandria via LeMat-Bulk describes a relaxed BaMnBe2 crystal. The functional is PBE.

Geometry as extended XYZ:
```
4
Lattice="-1.0991 -1.4802 2.4704 4.6832 -0.8043 1.6017 -0.1245 4.3244 2.5356" Properties=species:S:1:pos:R:3 pbc="T T T"
Ba -0.6118 1.4221 2.5030
Be 2.2794 1.7601 2.0687
Be 0.0000 0.0000 0.0000
Mn 1.7921 -1.1422 2.0361
```

Summary:
distance to the lowest polymorph of the same formula = 754 meV/atom
DOS(E_F) = 2.96 states/eV/f.u.
magnetization = 3.89 μB/f.u.
crystal system = tetragonal
SG = P4/mmm (123)
formation energy = 1.048 eV per atom

(3)
This record from Alexandria via LeMat-Bulk describes a relaxed SmCuAg crystal. The functional is PBE.

Geometry as extended XYZ:
```
6
Lattice="-0.0440 -0.3808 -3.5997 1.4630 -4.6005 2.2890 -7.3307 0.6124 0.0249" Properties=species:S:1:pos:R:3 pbc="T T T"
Sm -4.1983 -4.4878 -1.2942
Sm -1.7135 0.1189 0.0084
Ag -3.9141 -1.4941 -1.6143
Ag -1.9977 -2.8748 0.3285
Cu -0.0309 -1.9248 -1.6162
Cu -5.8808 -2.4441 0.3305
```

Summary:
distance to the lowest polymorph of the same formula = 76 meV/atom
DOS(E_F) = 1.62 states/eV/f.u.
magnetization = 0.00 μB/f.u.
crystal system = monoclinic
SG = C2/m (12)
formation energy = -0.177 eV per atom

(4)
This record from Alexandria via LeMat-Bulk describes a relaxed Tb2BiSe crystal. The functional is PBE.

Geometry as extended XYZ:
```
8
Lattice="4.2769 0.0000 0.0000 0.0000 6.1130 0.0000 0.0000 0.0000 8.6188" Properties=species:S:1:pos:R:3 pbc="T T T"
Tb 0.0000 0.0000 3.3469
Tb 0.0000 0.0000 7.3700
Tb 2.1384 3.0565 1.2489
Tb 2.1384 3.0565 5.2720
Bi 0.0000 3.0565 7.5542
Bi 2.1384 0.0000 1.0647
Se 0.0000 3.0565 3.2685
Se 2.1384 0.0000 5.3504
```

Summary:
distance to the lowest polymorph of the same formula = 6 meV/atom
formation energy (no corrections) = -1298 meV/atom
DOS(E_F) = 1.60 states/eV/f.u.
magnetization = 0.00 μB/f.u.
crystal system = orthorhombic
SG = Pmmn (59)

(5)
This record from Alexandria via LeMat-Bulk describes a relaxed HoUTe crystal. The functional is PBE.

Geometry as extended XYZ:
```
6
Lattice="-1.6593 -2.9666 -1.5501 3.3582 0.1765 -3.9328 6.7313 -3.4080 3.8187" Properties=species:S:1:pos:R:3 pbc="T T T"
U 5.7938 -2.3329 -1.7373
U 2.6364 -3.8652 0.0732
Te 6.7176 -5.4124 -1.3346
Te 1.7127 -0.7857 -0.3296
Ho 2.5857 -2.1851 -3.0880
Ho 5.8446 -4.0130 1.4238
```

Summary:
formation energy (no corrections) = -497 meV/atom
DOS(E_F) = 5.01 states/eV/f.u.
magnetization = 0.96 μB/f.u.
crystal system = monoclinic
SG = C2/m (12)

(6)
This record from Alexandria via LeMat-Bulk describes a relaxed TaInRe2 crystal. The functional is PBE.

Geometry as extended XYZ:
```
4
Lattice="5.1088 0.0100 0.0000 2.0006 4.7008 0.0000 -3.5547 -2.3554 2.8136" Properties=species:S:1:pos:R:3 pbc="T T T"
In 2.5544 0.0050 1.4068
Re 0.0000 0.0000 0.0000
Re 1.0003 2.3504 1.4068
Ta 3.5547 2.3554 0.0000
```

Summary:
DOS(E_F) = 4.81 states/eV/f.u.
magnetization = 0.00 μB/f.u.
crystal system = tetragonal
SG = I-4m2 (119)
formation energy = 0.355 eV per atom

(7)
This record from Alexandria via LeMat-Bulk describes a relaxed NaPaAgBi crystal. The functional is PBE.

Geometry as extended XYZ:
```
4
Lattice="-5.2770 0.3666 0.1455 -2.7842 -3.1580 3.2058 -2.3958 2.0114 4.2681" Properties=species:S:1:pos:R:3 pbc="T T T"
Pa 0.0000 0.0000 0.0000
Ag -2.6142 -0.1950 1.9048
Na -5.2285 -0.3900 3.8097
Bi -7.8427 -0.5850 5.7145
```

Summary:
DOS(E_F) = 6.80 states/eV/f.u.
magnetization = 1.77 μB/f.u.
crystal system = cubic
SG = F-43m (216)
formation energy = 0.100 eV per atom

(8)
This record from Alexandria via LeMat-Bulk describes a relaxed NaCoRu crystal. The functional is PBE.

Geometry as extended XYZ:
```
12
Lattice="-6.9898 1.6520 -0.8186 -0.8156 -1.6711 3.5919 1.0141 5.7246 2.8936" Properties=species:S:1:pos:R:3 pbc="T T T"
Ru -4.6941 1.1700 0.6170
Ru -0.8712 2.1956 1.9623
Ru -2.0972 4.5356 5.0498
Ru -5.9201 3.5100 3.7045
Na -3.0977 4.1203 2.3521
Na -3.6936 1.5852 3.3147
Na -7.3990 1.2228 2.3046
Na 0.6077 4.4827 3.3621
Co -2.4494 0.7129 0.9141
Co -4.3419 4.9926 4.7527
Co -5.6413 3.2495 1.3694
Co -1.1500 2.4560 4.2974
```

Summary:
distance to the lowest polymorph of the same formula = 185 meV/atom
DOS(E_F) = 3.21 states/eV/f.u.
magnetization = 0.00 μB/f.u.
crystal system = orthorhombic
SG = Pnma (62)
formation energy = 0.581 eV per atom

(9)
This record from Alexandria via LeMat-Bulk describes a relaxed KSr2W crystal. The functional is PBE.

Geometry as extended XYZ:
```
4
Lattice="-2.6158 -6.2365 0.0387 -0.1759 -2.9206 -6.0973 4.7622 3.1702 3.6068" Properties=species:S:1:pos:R:3 pbc="T T T"
Sr 0.0000 0.0000 0.0000
Sr 1.5952 -2.1645 -2.7599
K 0.3753 -3.8224 0.3081
W -1.3959 -4.5786 -3.0293
```

Summary:
distance to the lowest polymorph of the same formula = 325 meV/atom
DOS(E_F) = 3.07 states/eV/f.u.
magnetization = 3.71 μB/f.u.
crystal system = tetragonal
SG = I-4m2 (119)
formation energy = 1.303 eV per atom

(10)
This record from Alexandria via LeMat-Bulk describes a relaxed TaPtS2Cl crystal. The functional is PBE.

Geometry as extended XYZ:
```
5
Lattice="-3.1359 0.1093 3.6137 -1.7761 -4.2132 -1.4138 3.0992 -2.2315 2.7569" Properties=species:S:1:pos:R:3 pbc="T T T"
Cl 1.5496 -1.1158 1.3784
Ta 0.0000 0.0000 0.0000
S -1.5679 0.0547 1.8069
S -0.8880 -2.1066 -0.7069
Pt -0.9064 -3.1677 2.4784
```

Summary:
distance to the lowest polymorph of the same formula = 0 meV/atom
formation energy (no corrections) = 241 meV/atom
DOS(E_F) = 5.82 states/eV/f.u.
magnetization = 0.30 μB/f.u.
crystal system = tetragonal
SG = P4/mmm (123)

(11)
This record from Alexandria via LeMat-Bulk describes a relaxed Ag5Cl5F crystal. The functional is PBE.

Geometry as extended XYZ:
```
11
Lattice="-0.4822 4.7658 -2.3342 -4.4729 -4.4638 -2.1075 -2.7034 2.9415 6.5642" Properties=species:S:1:pos:R:3 pbc="T T T"
Ag -3.9903 1.4214 -2.3555
Ag -0.2411 2.3829 -1.1671
Ag -2.3048 0.3109 1.1110
Ag -3.6683 1.8220 4.4779
Ag -5.3538 2.9326 1.0114
Cl -4.2284 4.0872 3.1363
Cl -2.5514 2.6718 -0.0999
Cl -5.1072 0.5717 2.2223
Cl -1.3517 1.4707 3.2821
Cl -3.4301 -0.8437 -1.0139
F 0.0000 0.0000 0.0000
```

Summary:
formation energy (no corrections) = -526 meV/atom
DOS(E_F) = 5.36 states/eV/f.u.
magnetization = 0.00 μB/f.u.
crystal system = monoclinic
SG = C2/m (12)

(12)
This record from Alexandria via LeMat-Bulk describes a relaxed SrNi3N crystal. The functional is PBE.

Geometry as extended XYZ:
```
5
Lattice="4.0440 0.0000 0.0000 0.0000 4.0440 0.0000 0.0000 0.0000 4.0440" Properties=species:S:1:pos:R:3 pbc="T T T"
Ni 2.0220 0.0000 0.0000
Ni 0.0000 2.0220 0.0000
Ni 0.0000 0.0000 2.0220
Sr 2.0220 2.0220 2.0220
N 0.0000 0.0000 0.0000
```

Summary:
distance to the lowest polymorph of the same formula = 0 meV/atom
formation energy (no corrections) = 133 meV/atom
DOS(E_F) = 5.58 states/eV/f.u.
magnetization = 0.87 μB/f.u.
crystal system = cubic
SG = Pm-3m (221)

Across the entries above, theoretical density takes the values 6529, 4505, 8573, 8928, 11203, 16434, 9047, 6401, 4276, 7321, 5152, 6973 kg/m³, respectively.
Across the entries above, V takes the values 149, 78, 125, 225, 157, 68, 105, 190, 155, 108, 237, 66 Å³/cell, respectively.